Cr2NiBiRh: relaxed, GGA-PBE.

VASP energy   -6.47 eV/atom
Crystal system   tetragonal
Energy of formation from the pure elements   0.782 eV/atom

Cell: 4.5700 4.5700 4.5630 Å, 90.00 90.00 90.00°
Space group P4/mmm (No. 123)
Asymmetric unit:
Cr: 0.0000 0.5000 0.0000
Ni: 0.0000 0.0000 0.0000
Bi: 0.5000 0.5000 0.5000
Rh: 0.0000 0.0000 0.5000


Sr2HPb: relaxed, GGA-PBE.

VASP energy   -2.82 eV/atom
Crystal system   tetragonal
ΔE to the lowest computed polymorph   0.261 eV/atom

Cell: 3.7493 3.7493 8.1944 Å, 90.00 90.00 90.00°
Space group P4/mmm (No. 123)
Asymmetric unit:
Sr: 0.0000 0.0000 0.2266
H: 0.5000 0.5000 0.0000
Pb: 0.5000 0.5000 0.5000


SrN2F8: relaxed, GGA-PBE.

VASP energy   -4.12 eV/atom
Crystal system   monoclinic
Formation energy from raw total energies   -1089 meV per atom

Cell: 12.2685 5.8283 6.2182 Å, 90.00 118.25 90.00°
Space group C2/m (No. 12)
Asymmetric unit:
Sr: 0.0000 0.0000 0.0000
N: 0.1507 0.0000 0.6516
F: 0.1107 0.1922 0.7490
F: 0.1981 0.0000 0.2761
F: 0.2256 0.5000 0.2007


P5Ir: relaxed, GGA-PBE.

VASP energy   -5.80 eV/atom
Crystal system   monoclinic
Energy of formation from the pure elements   0.188 eV/atom
ΔE to the lowest computed polymorph   0.000 eV/atom

Cell: 11.9736 3.2007 6.8723 Å, 90.00 107.82 90.00°
Space group Cm (No. 8)
Asymmetric unit:
P: 0.0000 0.0000 0.0000
P: 0.0220 0.5000 0.4207
P: 0.1944 0.0000 0.1216
P: 0.2175 0.0000 0.8200
P: 0.4184 0.5000 0.5127
Ir: 0.0638 0.5000 0.7876


CaCdAg: relaxed, GGA-PBE.

VASP energy   -2.24 eV/atom
Crystal system   monoclinic
Energy of formation from the pure elements   -0.321 eV/atom

Cell: 10.9351 4.7976 7.4215 Å, 90.00 129.21 90.00°
Space group C2/m (No. 12)
Asymmetric unit:
Ca: 0.0507 0.0000 0.3042
Cd: 0.1688 0.5000 0.1074
Ag: 0.1581 0.5000 0.6988


BeCr2Br: relaxed, GGA-PBE.

VASP energy   -5.28 eV/atom
Crystal system   orthorhombic
Formation energy from raw total energies   884 meV per atom
ΔE to the lowest computed polymorph   0.505 eV/atom

Cell: 3.0769 4.5308 7.6557 Å, 90.00 90.00 90.00°
Space group Immm (No. 71)
Asymmetric unit:
Be: 0.0000 0.0000 0.0000
Cr: 0.0000 0.5000 0.2737
Br: 0.0000 0.0000 0.5000


Li3Ca4Zn2: relaxed, GGA-PBE.

VASP energy   -1.90 eV/atom
Crystal system   monoclinic
Energy of formation from the pure elements   -0.090 eV/atom

Cell: 16.8902 4.2053 7.3967 Å, 90.00 107.78 90.00°
Space group C2/m (No. 12)
Asymmetric unit:
Li: 0.0000 0.0000 0.0000
Li: 0.0997 0.0000 0.7226
Ca: 0.0711 0.5000 0.3510
Ca: 0.2334 0.0000 0.2102
Zn: 0.1069 0.5000 0.9551


Y5Tm4: relaxed, GGA-PBE.

VASP energy   -5.45 eV/atom
Crystal system   tetragonal
Energy of formation from the pure elements   0.126 eV/atom
ΔE to the lowest computed polymorph   0.097 eV/atom

Cell: 12.4382 12.4382 3.6796 Å, 90.00 90.00 90.00°
Space group I4/mmm (No. 139)
Asymmetric unit:
Y: 0.0000 0.0000 0.0000
Y: 0.1668 0.1668 0.5000
Tm: 0.0000 0.3368 0.0000


VASP energy of number 8 (Y5Tm4)?
-5.45 eV/atom